No. 1
The following is a DFT calculation (PBE with a Hubbard U) of a geometry-optimized BeNiPO2 structure.

Cell and atoms, written as POSCAR:
```
BeNiPO2
1.0
-1.104 -2.471 -1.626
0.345 -1.831 2.549
-6.228 1.513 1.929
O Ni Be P
2 1 1 1
Cartesian
0.172 -0.916 1.275
-0.552 -1.236 -0.813
-3.493 -1.395 1.426
0.000 0.000 0.000
-3.114 0.757 0.965
```

## Properties
E above lowest polymorph = 0 meV/atom

---

No. 2
The following is a DFT calculation (PBE with a Hubbard U) of a geometry-optimized MgMn6O4F8 structure.

Cell and atoms, written as POSCAR:
```
MgMn6O4F8
1.0
-1.934 2.645 -4.175
3.779 -1.806 -4.340
-4.690 -5.940 -2.803
O F Mg Mn
4 8 1 6
Cartesian
-4.943 -2.289 -5.854
0.237 -1.419 -4.406
-2.836 -3.649 -7.065
0.123 -2.098 -7.701
-0.522 -4.218 -4.641
0.514 0.465 -6.904
-2.759 -2.909 -3.624
2.345 -2.738 -5.487
-3.329 -5.626 -4.448
-2.123 -0.758 -6.324
-1.140 0.792 -3.421
-2.041 -6.075 -7.849
1.258 -1.241 -6.182
-6.472 -3.135 -6.896
1.014 -3.146 -3.900
-1.132 -3.782 -8.179
-3.662 -5.404 -6.467
-1.842 -1.133 -4.292
-3.724 -2.006 -7.267
```

## Properties
E above lowest polymorph = 15 meV/atom